(1)
VASP calculation (PBE) on crystalline Cs3F at its relaxed geometry.

The structure in extended XYZ format:
```
4
Lattice="4.220 0.000 0.000 0.000 8.505 0.000 -2.110 -4.252 7.272" Properties=species:S:1:pos:R:3 pbc="T T T"
Cs 0.000 3.428 5.229
Cs 2.110 -0.824 2.043
Cs 2.110 2.703 0.000
F 0.000 0.363 0.000
```

Calculated values
* space-group type: Imm2
* calculated volume: 65.3 Å³/atom
* density of states at the Fermi level: 2.41 states/eV/cell
* VASP energy: -9.30 eV per cell
* energy relative to the lowest polymorph listed for this composition: 0 meV/atom
* formation energy without anion corrections: -4.87 eV/f.u.

(2)
VASP calculation (PBE) on crystalline Ni6Pt12Rh at its relaxed geometry.

The structure in extended XYZ format:
```
19
Lattice="-6.363 2.610 0.047 -1.027 -6.799 0.162 2.396 1.435 6.285" Properties=species:S:1:pos:R:3 pbc="T T T"
Ni -2.556 -0.394 1.161
Ni -0.931 -2.068 1.701
Ni -0.804 0.097 2.717
Ni -2.438 -2.359 5.333
Ni -4.064 -0.685 4.793
Ni -4.191 -2.850 3.777
Pt -3.609 -2.737 1.268
Pt -1.605 -4.192 0.357
Pt -0.154 -2.214 4.147
Pt -6.232 -2.774 2.165
Pt 1.238 0.021 4.329
Pt -4.841 -0.539 2.346
Pt -1.385 -0.016 5.226
Pt -3.390 1.439 6.137
Pt -4.021 1.752 1.019
Pt -3.016 1.214 3.399
Pt -0.974 -4.505 5.475
Pt -1.978 -3.967 3.095
Rh 0.000 0.000 0.000
```

Calculated values
* space-group type: R-3
* calculated volume: 15.4 Å³/atom
* E_form: 0.181 eV/atom
* density of states at the Fermi level: 32.14 states/eV/cell
* VASP energy: -111.09 eV per cell

(3)
VASP calculation (PBE) on crystalline Mn2AgSe at its relaxed geometry.

The structure in extended XYZ format:
```
4
Lattice="-1.691 -0.494 -5.100 2.264 -3.719 -3.187 -2.154 0.288 4.939" Properties=species:S:1:pos:R:3 pbc="T T T"
Mn 0.000 0.000 0.000
Mn 0.199 -2.769 -1.196
Se 0.287 -2.106 -4.144
Ag -1.779 -1.156 -2.152
```

Calculated values
* space-group type: I-4m2
* calculated volume: 17.3 Å³/atom
* density of states at the Fermi level: 2.59 states/eV/cell
* VASP energy: -23.64 eV per cell
* formation energy without anion corrections: 1.04 eV/f.u.